Entry 1:
Fe4Rh | SCAN | PBEsol geometry

Cell lengths 3.392, 3.392, 10.057 Å; angles 90.00, 90.00, 90.00 degrees
Space group I4/mmm (No. 139)
Asymmetric unit:
Fe 0.000 0.000 0.101 (multiplicity 4)
Fe 0.000 0.500 0.250 (multiplicity 4)
Rh 0.000 0.000 0.500 (multiplicity 2)

Output
energy above the most stable polymorph in this dataset = 736 meV/atom
E_form = 0.5796 eV per atom

Entry 2:
FeRh | SCAN | PBEsol geometry

Cell lengths 3.634, 3.634, 7.465 Å; angles 90.00, 90.00, 90.00 degrees
Space group I4_1/amd (No. 141, origin choice 2)
Asymmetric unit:
Fe 0.000 0.250 0.375 (multiplicity 4)
Rh 0.000 0.250 0.875 (multiplicity 4)

Output
E_form = -0.0964 eV per atom

Entry 3:
Fe5Rh3 | SCAN | PBEsol geometry

Cell lengths 5.852, 8.281, 4.136 Å; angles 90.00, 90.00, 90.00 degrees
Space group Cmmm (No. 65)
Asymmetric unit:
Fe 0.000 0.000 0.000 (multiplicity 2)
Fe 0.240 0.000 0.500 (multiplicity 4)
Fe 0.250 0.250 0.000 (multiplicity 4)
Rh 0.000 0.253 0.500 (multiplicity 4)
Rh 0.000 0.500 0.000 (multiplicity 2)

Output
E_form = -0.2553 eV per atom

Entry 4:
FeRh | SCAN | PBEsol geometry

Cell lengths 2.659, 2.659, 10.509 Å; angles 90.00, 90.00, 90.00 degrees
Space group P4mm (No. 99)
Asymmetric unit:
Fe 0.000 0.000 0.000 (multiplicity 1)
Fe 0.000 0.000 0.334 (multiplicity 1)
Fe 0.500 0.500 0.487 (multiplicity 1)
Rh 0.000 0.000 0.651 (multiplicity 1)
Rh 0.500 0.500 0.169 (multiplicity 1)
Rh 0.500 0.500 0.834 (multiplicity 1)

Output
E_form = -0.0780 eV per atom

Entry 5:
FeRh3 | SCAN | PBEsol geometry

Cell lengths 8.734, 2.655, 4.564 Å; angles 90.00, 100.75, 90.00 degrees
Space group C2/m (No. 12)
Asymmetric unit:
Fe 0.000 0.000 0.000 (multiplicity 2)
Rh 0.000 0.500 0.500 (multiplicity 2)
Rh 0.247 0.500 0.246 (multiplicity 4)

Output
E_form = -0.0820 eV per atom

Entry 6:
FeRh2 | SCAN | PBEsol geometry

Cell lengths 2.645, 2.645, 10.897 Å; angles 90.00, 90.00, 90.00 degrees
Space group P4/mmm (No. 123)
Asymmetric unit:
Fe 0.000 0.000 0.162 (multiplicity 2)
Rh 0.000 0.000 0.500 (multiplicity 1)
Rh 0.500 0.500 0.000 (multiplicity 1)
Rh 0.500 0.500 0.324 (multiplicity 2)

Output
E_form = -0.0742 eV per atom

Entry 7:
FeRh3 | SCAN | PBEsol geometry

Cell lengths 2.668, 4.258, 4.584 Å; angles 90.00, 90.00, 90.00 degrees
Space group Pmm2 (No. 25)
Asymmetric unit:
Fe 0.000 0.000 0.000 (multiplicity 1)
Rh 0.000 0.500 0.330 (multiplicity 1)
Rh 0.500 0.000 0.494 (multiplicity 1)
Rh 0.500 0.500 0.833 (multiplicity 1)

Output
E_form = -0.0859 eV per atom

Entry 8:
FeRu2Rh | SCAN | PBEsol geometry

Cell lengths 2.636, 2.636, 7.332 Å; angles 90.00, 90.00, 90.00 degrees
Space group P4mm (No. 99)
Asymmetric unit:
Fe 0.000 0.000 0.000 (multiplicity 1)
Ru 0.000 0.000 0.504 (multiplicity 1)
Ru 0.500 0.500 0.759 (multiplicity 1)
Rh 0.500 0.500 0.243 (multiplicity 1)

Output
energy above the most stable polymorph in this dataset = 0 meV/atom
E_form = 0.0575 eV per atom

Entry 9:
FeRu2Rh | SCAN | PBEsol geometry

Cell lengths 8.713, 2.636, 4.536 Å; angles 90.00, 100.32, 90.00 degrees
Space group Cm (No. 8)
Asymmetric unit:
Fe 0.000 0.000 0.000 (multiplicity 2)
Ru 0.248 0.500 0.253 (multiplicity 2)
Ru 0.498 0.000 0.491 (multiplicity 2)
Rh 0.251 0.000 0.759 (multiplicity 2)

Output
energy above the most stable polymorph in this dataset = 3 meV/atom
E_form = 0.0609 eV per atom

Entry 10:
FeRu2Rh | SCAN | PBEsol geometry

Cell lengths 5.948, 5.948, 5.948 Å; angles 90.00, 90.00, 90.00 degrees
Space group Fm-3m (No. 225)
Asymmetric unit:
Fe 0.000 0.000 0.000 (multiplicity 4)
Ru 0.250 0.250 0.250 (multiplicity 8)
Rh 0.000 0.000 0.500 (multiplicity 4)

Output
energy above the most stable polymorph in this dataset = 267 meV/atom
E_form = 0.3241 eV per atom

Entry 11:
FeSbRh | SCAN | PBEsol geometry

Cell lengths 3.405, 3.405, 7.963 Å; angles 90.00, 90.00, 90.00 degrees
Space group I4mm (No. 107)
Asymmetric unit:
Fe 0.000 0.000 0.000 (multiplicity 2)
Sb 0.000 0.000 0.673 (multiplicity 2)
Rh 0.000 0.000 0.339 (multiplicity 2)

Output
formation energy (no corrections) = -37 meV per atom

Entry 12:
Sc2FeRh | SCAN | PBEsol geometry

Cell lengths 3.696, 3.696, 9.333 Å; angles 90.00, 90.00, 90.00 degrees
Space group I-4m2 (No. 119)
Asymmetric unit:
Sc 0.000 0.000 0.000 (multiplicity 2)
Sc 0.000 0.500 0.250 (multiplicity 2)
Fe 0.000 0.000 0.500 (multiplicity 2)
Rh 0.000 0.500 0.750 (multiplicity 2)

Output
E_form = -0.4032 eV per atom

Number 1: D(E_F) 0.708 states/eV per atom. Number 2: D(E_F) 0.892 states/eV per atom. Number 3: D(E_F) 0.274 states/eV per atom. Number 4: D(E_F) 0.982 states/eV per atom. Number 5: D(E_F) 1.043 states/eV per atom. Number 6: D(E_F) 1.097 states/eV per atom. Number 7: D(E_F) 0.842 states/eV per atom. Number 8: D(E_F) 0.972 states/eV per atom. Number 9: D(E_F) 0.910 states/eV per atom. Number 10: D(E_F) 1.246 states/eV per atom. Number 11: D(E_F) 0.502 states/eV per atom. Number 12: D(E_F) 0.553 states/eV per atom.